1.
# Tb3Ga3Ir

An optimized crystal structure of Tb3Ga3Ir (GGA-PBE, the Alexandria database).

Calculated values
ΔH_f (0 K)   -0.7175 eV per atom
Symmetry   C2/m (12)

Lattice parameters (Å, degrees): 4.182 5.825 13.956 83.65 81.38 68.96
Atoms (fractional coordinates):
Tb 0.610 0.702 0.077
Tb 0.473 0.672 0.382
Tb 0.263 0.237 0.238
Tb 0.737 0.763 0.762
Tb 0.527 0.328 0.618
Tb 0.390 0.298 0.923
Ga 0.893 0.139 0.075
Ga 0.107 0.861 0.925
Ga 0.146 0.243 0.464
Ga 0.854 0.757 0.536
Ga 0.025 0.180 0.771
Ga 0.975 0.820 0.229
Ir 0.238 0.906 0.617
Ir 0.762 0.094 0.383

---

2.
# Rb2PaSn2Se6

An optimized crystal structure of Rb2PaSn2Se6 (GGA-PBE, the Alexandria database).

Calculated values
Formation energy (no corrections)   -0.897 eV/atom
Symmetry   C2/m (12)

Lattice parameters (Å, degrees): 7.903 7.641 8.808 114.31 90.00 121.14
Atoms (fractional coordinates):
Rb 0.299 0.598 0.834
Rb 0.701 0.402 0.166
Se 0.727 0.454 0.570
Se 0.202 0.878 0.230
Se 0.273 0.546 0.430
Se 0.324 0.122 0.770
Se 0.676 0.878 0.230
Se 0.798 0.122 0.770
Sn 0.951 0.902 0.805
Sn 0.049 0.098 0.195
Pa 0.500 0.000 0.500

---

3.
# LaNpBiO2

An optimized crystal structure of LaNpBiO2 (GGA-PBE, the Alexandria database).

Calculated values
Formation energy (no corrections)   -2.322 eV/atom
Symmetry   I4mm (107)

Lattice parameters (Å, degrees): 4.015 4.015 7.285 106.00 106.00 90.00
Each line ends with the local moment (μB).
Atoms (fractional coordinates):
O 0.743 0.243 0.487  -0.06
O 0.243 0.743 0.487  -0.06
Bi 0.507 0.507 0.014  -0.06
Np 0.163 0.163 0.325  3.61
La 0.844 0.844 0.687  0.01

---

4.
# BaH3S

An optimized crystal structure of BaH3S (GGA-PBE, the Alexandria database).

Calculated values
Final energy   -0.135 Ha/atom
Symmetry   C2/m (12)

Lattice parameters (Å, degrees): 5.031 4.990 10.980 115.06 90.00 120.28
Atoms (fractional coordinates):
S 0.929 0.859 0.155
S 0.071 0.141 0.845
H 0.159 0.317 0.987
H 0.667 0.335 0.731
H 0.384 0.769 0.352
H 0.841 0.683 0.013
H 0.333 0.665 0.269
H 0.616 0.231 0.648
Ba 0.326 0.651 0.717
Ba 0.674 0.349 0.283

---

5.
# CsBi2Os

An optimized crystal structure of CsBi2Os (GGA-PBE, the Alexandria database).

Calculated values
ΔH_f (0 K)   0.4674 eV per atom
Symmetry   I-42d (122)

Lattice parameters (Å, degrees): 8.307 8.307 7.684 57.28 57.28 90.00
Atoms (fractional coordinates):
Bi 0.753 0.125 0.250
Bi 0.375 0.247 0.750
Bi 0.875 0.003 0.750
Bi 0.997 0.625 0.250
Os 0.750 0.250 0.500
Os 0.000 0.000 0.000
Cs 0.250 0.750 0.500
Cs 0.500 0.500 0.000

---

6.
# MgSb2TeCl

An optimized crystal structure of MgSb2TeCl (GGA-PBE, the Alexandria database).

Calculated values
Formation energy (no corrections)   0.590 eV/atom
Symmetry   P4/mmm (123)

Lattice parameters (Å, degrees): 5.326 5.441 5.326 90.00 90.00 90.00
Atoms (fractional coordinates):
Sb 0.000 0.000 0.500
Sb 0.500 0.000 0.000
Cl 0.000 0.000 0.000
Mg 0.500 0.500 0.500
Te 0.000 0.500 0.000

---

7.
# Cs2CuPSe4

An optimized crystal structure of Cs2CuPSe4 (GGA-PBE, the Alexandria database).

Calculated values
Formation energy (no corrections)   -0.635 eV/atom
Symmetry   Fddd (70)

Lattice parameters (Å, degrees): 6.260 7.656 13.195 84.43 76.28 65.87
Atoms (fractional coordinates):
Se 0.428 0.680 0.403
Se 0.580 0.180 0.097
Se 0.857 0.820 0.903
Se 0.893 0.680 0.597
Se 0.322 0.820 0.097
Se 0.510 0.320 0.597
Se 0.170 0.320 0.403
Se 0.240 0.180 0.903
Cu 0.000 0.000 0.000
Cu 0.750 0.500 0.500
Cs 0.571 0.500 0.857
Cs 0.929 0.500 0.143
Cs 0.179 0.000 0.643
Cs 0.821 0.000 0.357
P 0.500 0.000 0.000
P 0.250 0.500 0.500

---

8.
# Ta4AlP3

An optimized crystal structure of Ta4AlP3 (GGA-PBE, the Alexandria database).

Calculated values
ΔH_f (0 K)   -0.3646 eV per atom
Symmetry   P6_3/mmc (194)

Lattice parameters (Å, degrees): 3.606 3.606 24.054 90.00 90.00 120.00
Atoms (fractional coordinates):
Ta 0.000 0.000 0.826
Ta 0.333 0.667 0.567
Ta 0.000 0.000 0.174
Ta 0.667 0.333 0.067
Ta 0.667 0.333 0.433
Ta 0.000 0.000 0.674
Ta 0.000 0.000 0.326
Ta 0.333 0.667 0.933
P 0.667 0.333 0.622
P 0.667 0.333 0.878
P 0.333 0.667 0.378
P 0.333 0.667 0.122
P 0.000 0.000 0.500
P 0.000 0.000 0.000
Al 0.333 0.667 0.750
Al 0.667 0.333 0.250